# AcMnTeO6, relaxed, DFT GGA+U
# Magnetic moment (μB per formula unit): 4.0
# Final energy (eV/atom): -6.6676
data_AcMnTeO6
_chemical_formula_sum 'Ac2 Mn2 Te2 O12'
_space_group_name_H-M_alt 'P 1'
_space_group_IT_number 1
_space_group_name_Hall 'P 1'
_cell_length_a 5.129
_cell_length_b 5.129
_cell_length_c 9.870
_cell_angle_alpha 90.00
_cell_angle_beta 90.00
_cell_angle_gamma 90.00
loop_
_atom_site_label
_atom_site_fract_x
_atom_site_fract_y
_atom_site_fract_z
Ac1 0.000 0.000 0.000
Ac2 0.500 0.500 0.500
Mn1 0.000 0.000 0.336
Mn2 0.500 0.500 0.836
Te1 0.000 0.000 0.664
Te2 0.500 0.500 0.164
O1 0.162 0.162 0.497
O2 0.201 0.201 0.792
O3 0.228 0.228 0.177
O4 0.272 0.728 0.677
O5 0.299 0.701 0.292
O6 0.338 0.662 0.997
O7 0.662 0.338 0.997
O8 0.701 0.299 0.292
O9 0.728 0.272 0.677
O10 0.772 0.772 0.177
O11 0.799 0.799 0.792
O12 0.838 0.838 0.497